[1]
4
Lattice="0.000 3.235 3.235 3.235 0.000 3.235 3.235 3.235 0.000" Properties=species:S:1:pos:R:3 comment="CdCuSiAg (PBE-GGA, optimized geometry)" dft_energy_ev_per_cell=-11.77 e_above_lowest_polymorph_mev_per_atom=0 space_group="F-43m, No. 216" pbc="T T T"
Cd 3.235 3.235 3.235
Cu 4.852 4.852 4.852
Si 0.000 0.000 0.000
Ag 1.617 1.617 1.617

[2]
10
Lattice="-0.998 5.819 -1.073 -3.523 -0.811 -1.119 -1.964 0.695 5.681" Properties=species:S:1:pos:R:3 comment="Cu7Ag3 (PBE-GGA, optimized geometry)" dft_energy_ev_per_cell=-33.63 formation_enthalpy_0k_mev_per_atom=86.5 e_above_lowest_polymorph_mev_per_atom=42 space_group="Pm, No. 6" pbc="T T T"
Ag -0.995 3.678 0.468
Ag -3.249 0.640 3.368
Ag -0.968 1.413 2.025
Cu -2.246 1.406 -0.348
Cu -4.207 4.245 3.770
Cu -1.962 0.699 5.670
Cu -3.231 5.028 0.129
Cu -3.280 2.941 1.797
Cu -1.982 2.935 4.116
Cu -1.981 4.993 2.621